[1]
Material: TeRuRh2
Method: DFT, PBE
State: optimized geometry

Magnetic moment   0.00 μB per formula unit
E_form (uncorrected)   0.32 eV per atom

```
data_TeRuRh2
_symmetry_space_group_name_H-M 'P 4 m m'
_symmetry_Int_Tables_number 99
_symmetry_space_group_name_Hall 'P 4 -2'
_cell_length_a 3.028
_cell_length_b 3.028
_cell_length_c 7.081
_cell_angle_alpha 90.00
_cell_angle_beta 90.00
_cell_angle_gamma 90.00
loop_
_atom_site_label
_atom_site_type_symbol
_atom_site_fract_x
_atom_site_fract_y
_atom_site_fract_z
Te1 Te 0.000 0.000 0.000
Ru1 Ru 0.500 0.500 0.739
Rh1 Rh 0.000 0.000 0.510
Rh2 Rh 0.500 0.500 0.253
```

---

[2]
Material: TeRuRh
Method: DFT, PBE
State: optimized geometry

Magnetic moment   0.00 μB per formula unit
E_form (uncorrected)   0.21 eV per atom

```
data_TeRuRh
_symmetry_space_group_name_H-M 'P 3 m 1'
_symmetry_Int_Tables_number 156
_symmetry_space_group_name_Hall 'P 3 -2"'
_cell_length_a 4.2707
_cell_length_b 4.2707
_cell_length_c 3.2655
_cell_angle_alpha 90.00
_cell_angle_beta 90.00
_cell_angle_gamma 120.00
loop_
_atom_site_label
_atom_site_type_symbol
_atom_site_fract_x
_atom_site_fract_y
_atom_site_fract_z
Te1 Te 0.0000 0.0000 0.0000
Ru1 Ru 0.3333 0.6667 0.7605
Rh1 Rh 0.6667 0.3333 0.2857
```

---

[3]
Material: Te3RuRh
Method: DFT, PBE
State: optimized geometry

Magnetic moment   0.00 μB per formula unit
E_form (uncorrected)   1.02 eV per atom

```
data_Te3RuRh
_symmetry_space_group_name_H-M 'P m -3 m'
_symmetry_Int_Tables_number 221
_symmetry_space_group_name_Hall '-P 4 2 3'
_cell_length_a 5.097
_cell_length_b 5.097
_cell_length_c 5.097
_cell_angle_alpha 90.00
_cell_angle_beta 90.00
_cell_angle_gamma 90.00
loop_
_atom_site_label
_atom_site_type_symbol
_atom_site_fract_x
_atom_site_fract_y
_atom_site_fract_z
Te1 Te 0.000 0.000 0.500
Ru1 Ru 0.500 0.500 0.500
Rh1 Rh 0.000 0.000 0.000
```